# Np2In9Bi GGA-PBE relaxed
# **Crystal system**: tetragonal
# **E_form**: 0.67 eV/f.u.
data_Np2In9Bi
_cell_length_a 4.698
_cell_length_b 4.698
_cell_length_c 14.236
_cell_angle_alpha 90.00
_cell_angle_beta 90.00
_cell_angle_gamma 90.00
_symmetry_space_group_name_H-M 'P 4/m m m'
_symmetry_Int_Tables_number 123
_symmetry_space_group_name_Hall '-P 4 2'
loop_
_atom_site_label
_atom_site_type_symbol
_atom_site_fract_x
_atom_site_fract_y
_atom_site_fract_z
Np1 Np 0.000 0.000 0.164
In1 In 0.000 0.500 0.000
In2 In 0.000 0.500 0.326
In3 In 0.500 0.500 0.159
In4 In 0.500 0.500 0.500
Bi1 Bi 0.000 0.000 0.500

# La2TbTmTe5 GGA-PBE relaxed
# **Electronic total energy**: -4.825 eV per atom
# **Crystal system**: tetragonal
data_La2TbTmTe5
_cell_length_a 5.469
_cell_length_b 5.469
_cell_length_c 11.558
_cell_angle_alpha 90.00
_cell_angle_beta 90.00
_cell_angle_gamma 90.00
_symmetry_space_group_name_H-M 'P 4/m m m'
_symmetry_Int_Tables_number 123
_symmetry_space_group_name_Hall '-P 4 2'
loop_
_atom_site_label
_atom_site_type_symbol
_atom_site_fract_x
_atom_site_fract_y
_atom_site_fract_z
La1 La 0.000 0.000 0.175
Tb1 Tb 0.500 0.500 0.500
Tm1 Tm 0.500 0.500 0.000
Te1 Te 0.000 0.000 0.500
Te2 Te 0.000 0.500 0.000
Te3 Te 0.500 0.500 0.253

# Zn2Cu4Pt5 GGA-PBE relaxed
# **Crystal system**: orthorhombic
# **E_form**: -2.70 eV/f.u.
data_Zn2Cu4Pt5
_cell_length_a 6.601
_cell_length_b 17.343
_cell_length_c 2.792
_cell_angle_alpha 90.00
_cell_angle_beta 90.00
_cell_angle_gamma 90.00
_symmetry_space_group_name_H-M 'P b a m'
_symmetry_Int_Tables_number 55
_symmetry_space_group_name_Hall '-P 2 2ab'
loop_
_atom_site_label
_atom_site_type_symbol
_atom_site_fract_x
_atom_site_fract_y
_atom_site_fract_z
Zn1 Zn 0.113 0.219 0.000
Cu1 Cu 0.029 0.633 0.000
Cu2 Cu 0.175 0.957 0.000
Pt1 Pt 0.000 0.500 0.500
Pt2 Pt 0.152 0.088 0.500
Pt3 Pt 0.210 0.826 0.500

# MnIn GGA-PBE relaxed
# **Crystal system**: trigonal
# **E_form**: 0.91 eV/f.u.
data_MnIn
_cell_length_a 3.2478
_cell_length_b 3.2478
_cell_length_c 8.1368
_cell_angle_alpha 90.00
_cell_angle_beta 90.00
_cell_angle_gamma 120.00
_symmetry_space_group_name_H-M 'P -3 m 1'
_symmetry_Int_Tables_number 164
_symmetry_space_group_name_Hall '-P 3 2"'
loop_
_atom_site_label
_atom_site_type_symbol
_atom_site_fract_x
_atom_site_fract_y
_atom_site_fract_z
Mn1 Mn 0.3333 0.6667 0.0649
In1 In 0.3333 0.6667 0.6692

# La2PSI GGA-PBE relaxed
# **Electronic total energy**: -5.060 eV per atom
# **Crystal system**: tetragonal
data_La2PSI
_cell_length_a 5.537
_cell_length_b 5.537
_cell_length_c 4.690
_cell_angle_alpha 90.00
_cell_angle_beta 90.00
_cell_angle_gamma 90.00
_symmetry_space_group_name_H-M 'P 4/m m m'
_symmetry_Int_Tables_number 123
_symmetry_space_group_name_Hall '-P 4 2'
loop_
_atom_site_label
_atom_site_type_symbol
_atom_site_fract_x
_atom_site_fract_y
_atom_site_fract_z
La1 La 0.000 0.500 0.000
P1 P 0.000 0.000 0.500
S1 S 0.000 0.000 0.000
I1 I 0.500 0.500 0.500

# Cs2W2S GGA-PBE relaxed
# **Crystal system**: tetragonal
# **Excess energy over the best structure of this formula in the dataset**: 0.00 eV/f.u.
data_Cs2W2S
_cell_length_a 3.631
_cell_length_b 3.631
_cell_length_c 24.532
_cell_angle_alpha 90.00
_cell_angle_beta 90.00
_cell_angle_gamma 90.00
_symmetry_space_group_name_H-M 'I 4/m m m'
_symmetry_Int_Tables_number 139
_symmetry_space_group_name_Hall '-I 4 2'
loop_
_atom_site_label
_atom_site_type_symbol
_atom_site_fract_x
_atom_site_fract_y
_atom_site_fract_z
Cs1 Cs 0.000 0.000 0.089
W1 W 0.000 0.500 0.250
S1 S 0.000 0.000 0.500

# Pr5GaRh2 GGA-PBE relaxed
# **Crystal system**: tetragonal
# **E_form**: -4.07 eV/f.u.
data_Pr5GaRh2
_cell_length_a 7.999
_cell_length_b 7.999
_cell_length_c 13.650
_cell_angle_alpha 90.00
_cell_angle_beta 90.00
_cell_angle_gamma 90.00
_symmetry_space_group_name_H-M 'I 4/m c m'
_symmetry_Int_Tables_number 140
_symmetry_space_group_name_Hall '-I 4 2c'
loop_
_atom_site_label
_atom_site_type_symbol
_atom_site_fract_x
_atom_site_fract_y
_atom_site_fract_z
Pr1 Pr 0.000 0.000 0.000
Pr2 Pr 0.164 0.336 0.140
Ga1 Ga 0.000 0.000 0.250
Rh1 Rh 0.133 0.367 0.500

# Mg3SiH GGA-PBE relaxed
# **Crystal system**: cubic
# **Excess energy over the best structure of this formula in the dataset**: 0.07 eV/f.u.
data_Mg3SiH
_cell_length_a 4.267
_cell_length_b 4.267
_cell_length_c 4.267
_cell_angle_alpha 90.00
_cell_angle_beta 90.00
_cell_angle_gamma 90.00
_symmetry_space_group_name_H-M 'P m -3 m'
_symmetry_Int_Tables_number 221
_symmetry_space_group_name_Hall '-P 4 2 3'
loop_
_atom_site_label
_atom_site_type_symbol
_atom_site_fract_x
_atom_site_fract_y
_atom_site_fract_z
Mg1 Mg 0.000 0.000 0.500
Si1 Si 0.500 0.500 0.500
H1 H 0.000 0.000 0.000

# HfSn2BrF GGA-PBE relaxed
# **Electronic total energy**: -4.550 eV per atom
# **Crystal system**: tetragonal
data_HfSn2BrF
_cell_length_a 4.613
_cell_length_b 4.613
_cell_length_c 5.335
_cell_angle_alpha 90.00
_cell_angle_beta 90.00
_cell_angle_gamma 90.00
_symmetry_space_group_name_H-M 'P 4/m m m'
_symmetry_Int_Tables_number 123
_symmetry_space_group_name_Hall '-P 4 2'
loop_
_atom_site_label
_atom_site_type_symbol
_atom_site_fract_x
_atom_site_fract_y
_atom_site_fract_z
Hf1 Hf 0.000 0.000 0.000
Sn1 Sn 0.000 0.500 0.500
Br1 Br 0.500 0.500 0.000
F1 F 0.500 0.500 0.500

# Ti12AlSn3 GGA-PBE relaxed
# **Crystal system**: orthorhombic
# **E_form**: -4.31 eV/f.u.
data_Ti12AlSn3
_cell_length_a 5.202
_cell_length_b 5.207
_cell_length_c 10.424
_cell_angle_alpha 90.00
_cell_angle_beta 90.00
_cell_angle_gamma 90.00
_symmetry_space_group_name_H-M 'P m m m'
_symmetry_Int_Tables_number 47
_symmetry_space_group_name_Hall '-P 2 2'
loop_
_atom_site_label
_atom_site_type_symbol
_atom_site_fract_x
_atom_site_fract_y
_atom_site_fract_z
Ti1 Ti 0.000 0.000 0.121
Ti2 Ti 0.000 0.000 0.373
Ti3 Ti 0.248 0.500 0.500
Ti4 Ti 0.256 0.500 0.000
Ti5 Ti 0.500 0.247 0.245
Al1 Al 0.500 0.000 0.000
Sn1 Sn 0.000 0.500 0.250
Sn2 Sn 0.500 0.000 0.500

# NdDy3Au2 GGA-PBE relaxed
# **Crystal system**: orthorhombic
# **E_form**: -3.68 eV/f.u.
# **Excess energy over the best structure of this formula in the dataset**: 0.00 eV/f.u.
data_NdDy3Au2
_cell_length_a 4.998
_cell_length_b 9.014
_cell_length_c 7.196
_cell_angle_alpha 90.00
_cell_angle_beta 90.00
_cell_angle_gamma 90.00
_symmetry_space_group_name_H-M 'P m c 21'
_symmetry_Int_Tables_number 26
_symmetry_space_group_name_Hall 'P 2c -2'
loop_
_atom_site_label
_atom_site_type_symbol
_atom_site_fract_x
_atom_site_fract_y
_atom_site_fract_z
Nd1 Nd 0.000 0.074 0.000
Dy1 Dy 0.000 0.333 0.638
Dy2 Dy 0.500 0.170 0.339
Dy3 Dy 0.500 0.429 0.976
Au1 Au 0.000 0.353 0.236
Au2 Au 0.500 0.157 0.742

# Hf2TiPd6 GGA-PBE relaxed
# **Crystal system**: monoclinic
# **E_form**: -4.81 eV/f.u.
data_Hf2TiPd6
_cell_length_a 14.115
_cell_length_b 7.247
_cell_length_c 3.037
_cell_angle_alpha 90.00
_cell_angle_beta 90.10
_cell_angle_gamma 90.00
_symmetry_space_group_name_H-M 'C 1 2/m 1'
_symmetry_Int_Tables_number 12
_symmetry_space_group_name_Hall '-C 2y'
loop_
_atom_site_label
_atom_site_type_symbol
_atom_site_fract_x
_atom_site_fract_y
_atom_site_fract_z
Hf1 Hf 0.193 0.000 0.498
Ti1 Ti 0.000 0.500 0.000
Pd1 Pd 0.000 0.192 0.500
Pd2 Pd 0.157 0.309 0.998

# In3Sb5Au12 GGA-PBE relaxed
# **Electronic total energy**: -3.382 eV per atom
# **Crystal system**: cubic
data_In3Sb5Au12
_cell_length_a 16.068
_cell_length_b 16.068
_cell_length_c 16.068
_cell_angle_alpha 90.00
_cell_angle_beta 90.00
_cell_angle_gamma 90.00
_symmetry_space_group_name_H-M 'I a -3 d'
_symmetry_Int_Tables_number 230
_symmetry_space_group_name_Hall '-I 4bd 2c 3'
loop_
_atom_site_label
_atom_site_type_symbol
_atom_site_fract_x
_atom_site_fract_y
_atom_site_fract_z
In1 In 0.000 0.250 0.125
Sb1 Sb 0.000 0.000 0.000
Sb2 Sb 0.000 0.250 0.375
Au1 Au 0.009 0.075 0.654

# Ni2PAu GGA-PBE relaxed
# **Crystal system**: orthorhombic
# **E_form**: -0.52 eV/f.u.
data_Ni2PAu
_cell_length_a 2.835
_cell_length_b 3.223
_cell_length_c 12.382
_cell_angle_alpha 90.00
_cell_angle_beta 90.00
_cell_angle_gamma 90.00
_symmetry_space_group_name_H-M 'I m m 2'
_symmetry_Int_Tables_number 44
_symmetry_space_group_name_Hall 'I 2 -2'
loop_
_atom_site_label
_atom_site_type_symbol
_atom_site_fract_x
_atom_site_fract_y
_atom_site_fract_z
Ni1 Ni 0.000 0.000 0.000
Ni2 Ni 0.000 0.500 0.323
P1 P 0.000 0.000 0.442
Au1 Au 0.000 0.500 0.686

# PaTeF GGA-PBE relaxed
# **Crystal system**: monoclinic
# **Excess energy over the best structure of this formula in the dataset**: 0.54 eV/f.u.
data_PaTeF
_cell_length_a 5.855
_cell_length_b 4.345
_cell_length_c 6.870
_cell_angle_alpha 90.00
_cell_angle_beta 92.48
_cell_angle_gamma 90.00
_symmetry_space_group_name_H-M 'P 1 21/m 1'
_symmetry_Int_Tables_number 11
_symmetry_space_group_name_Hall '-P 2yb'
loop_
_atom_site_label
_atom_site_type_symbol
_atom_site_fract_x
_atom_site_fract_y
_atom_site_fract_z
Pa1 Pa 0.195 0.250 0.073
Te1 Te 0.312 0.750 0.746
F1 F 0.134 0.750 0.201

# Nd4SiTe2S GGA-PBE relaxed
# **Electronic total energy**: -5.821 eV per atom
# **Crystal system**: monoclinic
data_Nd4SiTe2S
_cell_length_a 7.393
_cell_length_b 4.296
_cell_length_c 7.733
_cell_angle_alpha 90.00
_cell_angle_beta 108.86
_cell_angle_gamma 90.00
_symmetry_space_group_name_H-M 'P 1 2/m 1'
_symmetry_Int_Tables_number 10
_symmetry_space_group_name_Hall '-P 2y'
loop_
_atom_site_label
_atom_site_type_symbol
_atom_site_fract_x
_atom_site_fract_y
_atom_site_fract_z
Nd1 Nd 0.239 0.000 0.219
Nd2 Nd 0.259 0.500 0.785
Si1 Si 0.000 0.500 0.000
Te1 Te 0.000 0.000 0.500
Te2 Te 0.500 0.500 0.500
S1 S 0.500 0.000 0.000

# Fe2AsPdN GGA-PBE relaxed
# **Electronic total energy**: -5.076 eV per atom
# **Crystal system**: tetragonal
data_Fe2AsPdN
_cell_length_a 4.766
_cell_length_b 4.766
_cell_length_c 4.499
_cell_angle_alpha 90.00
_cell_angle_beta 90.00
_cell_angle_gamma 90.00
_symmetry_space_group_name_H-M 'P 4/m m m'
_symmetry_Int_Tables_number 123
_symmetry_space_group_name_Hall '-P 4 2'
loop_
_atom_site_label
_atom_site_type_symbol
_atom_site_fract_x
_atom_site_fract_y
_atom_site_fract_z
Fe1 Fe 0.000 0.500 0.000
As1 As 0.000 0.000 0.500
Pd1 Pd 0.000 0.000 0.000
N1 N 0.500 0.500 0.500

# BeAlCl2 GGA-PBE relaxed
# **Crystal system**: tetragonal
# **Excess energy over the best structure of this formula in the dataset**: 2.86 eV/f.u.
data_BeAlCl2
_cell_length_a 2.965
_cell_length_b 2.965
_cell_length_c 10.138
_cell_angle_alpha 90.00
_cell_angle_beta 90.00
_cell_angle_gamma 90.00
_symmetry_space_group_name_H-M 'P 4/m m m'
_symmetry_Int_Tables_number 123
_symmetry_space_group_name_Hall '-P 4 2'
loop_
_atom_site_label
_atom_site_type_symbol
_atom_site_fract_x
_atom_site_fract_y
_atom_site_fract_z
Be1 Be 0.000 0.000 0.000
Al1 Al 0.000 0.000 0.500
Cl1 Cl 0.500 0.500 0.140

# CrBN2 GGA-PBE relaxed
# **Crystal system**: cubic
# **Excess energy over the best structure of this formula in the dataset**: 7.47 eV/f.u.
data_CrBN2
_cell_length_a 4.906
_cell_length_b 4.906
_cell_length_c 4.906
_cell_angle_alpha 90.00
_cell_angle_beta 90.00
_cell_angle_gamma 90.00
_symmetry_space_group_name_H-M 'F m -3 m'
_symmetry_Int_Tables_number 225
_symmetry_space_group_name_Hall '-F 4 2 3'
loop_
_atom_site_label
_atom_site_type_symbol
_atom_site_fract_x
_atom_site_fract_y
_atom_site_fract_z
Cr1 Cr 0.000 0.000 0.000
B1 B 0.000 0.000 0.500
N1 N 0.250 0.250 0.250

# Rb2FeI GGA-PBE relaxed
# **Crystal system**: cubic
# **Excess energy over the best structure of this formula in the dataset**: 0.00 eV/f.u.
data_Rb2FeI
_cell_length_a 8.890
_cell_length_b 8.890
_cell_length_c 8.890
_cell_angle_alpha 90.00
_cell_angle_beta 90.00
_cell_angle_gamma 90.00
_symmetry_space_group_name_H-M 'F m -3 m'
_symmetry_Int_Tables_number 225
_symmetry_space_group_name_Hall '-F 4 2 3'
loop_
_atom_site_label
_atom_site_type_symbol
_atom_site_fract_x
_atom_site_fract_y
_atom_site_fract_z
Rb1 Rb 0.250 0.250 0.250
Fe1 Fe 0.000 0.000 0.000
I1 I 0.000 0.000 0.500

# Na3ZnSn GGA-PBE relaxed
# **Crystal system**: cubic
# **E_form**: 1.30 eV/f.u.
# **Excess energy over the best structure of this formula in the dataset**: 1.32 eV/f.u.
data_Na3ZnSn
_cell_length_a 5.436
_cell_length_b 5.436
_cell_length_c 5.436
_cell_angle_alpha 90.00
_cell_angle_beta 90.00
_cell_angle_gamma 90.00
_symmetry_space_group_name_H-M 'P m -3 m'
_symmetry_Int_Tables_number 221
_symmetry_space_group_name_Hall '-P 4 2 3'
loop_
_atom_site_label
_atom_site_type_symbol
_atom_site_fract_x
_atom_site_fract_y
_atom_site_fract_z
Na1 Na 0.000 0.000 0.500
Zn1 Zn 0.000 0.000 0.000
Sn1 Sn 0.500 0.500 0.500